Entry 1:
Material: Y8Ir2Ru
Method: DFT, PBE
State: relaxed

abc: 7.5611 7.5611 5.8702
angles: 100.16 100.16 112.62
With the nearest neighbours (Å) after each atom.
Fractional coordinates of all 11 atoms:
Y 0.0000 0.0000 0.0000  1 Ru 2.95, 2 Ir 2.99
Y 0.0272 0.2838 0.5808  2 Ir 2.83, 1 Ru 3.17
Y 0.1423 0.5707 0.1844  1 Ru 2.77
Y 0.2838 0.0272 0.5808  2 Ir 2.83, 1 Ru 3.17
Y 0.4354 0.6916 0.7760  2 Ir 2.81-2.82
Y 0.5707 0.1423 0.1844  1 Ru 2.77
Y 0.6916 0.4354 0.7760  2 Ir 2.81-2.82
Y 0.7183 0.7183 0.3721  1 Ru 2.92, 2 Ir 3.02
Ir 0.0510 0.6739 0.6881  6 Y 2.81-3.02
Ir 0.6739 0.0510 0.6881  6 Y 2.81-3.02
Ru 0.3569 0.3569 0.2968  4 Y 2.77-2.95

Calculated values
The crystal system is monoclinic. The value obtained for the total energy is -7.54 eV per atom.

Entry 2:
Material: Y2IrRu
Method: DFT, PBE
State: relaxed

abc: 8.6024 8.6024 8.6024
angles: 22.80 22.80 22.80
With the nearest neighbours (Å) after each atom.
Fractional coordinates of all 4 atoms:
Y 0.2481 0.2481 0.2481  3 Ru 2.83, 3 Ir 2.91
Y 0.7519 0.7519 0.7519  3 Ru 2.83, 3 Ir 2.91
Ir 0.0000 0.0000 0.0000  6 Y 2.91
Ru 0.5000 0.5000 0.5000  6 Y 2.83

Calculated values
The crystal system is trigonal. The value obtained for the total energy is -7.86 eV per atom.

Entry 3:
Material: YIr2Ru
Method: DFT, PBE
State: relaxed

abc: 4.5993 4.5993 4.5993
angles: 60.00 60.00 60.00
With the nearest neighbours (Å) after each atom.
Fractional coordinates of all 4 atoms:
Y 0.0000 0.0000 0.0000  4 Ir 2.82, 4 Ru 2.82
Ir 0.5000 0.5000 0.5000  4 Ir 2.82, 4 Ru 2.82
Ir 0.7500 0.7500 0.7500  4 Ir 2.82, 4 Y 2.82
Ru 0.2500 0.2500 0.2500  4 Ir 2.82, 4 Y 2.82

Calculated values
The crystal system is cubic. The value obtained for the total energy is -8.24 eV per atom.

Entry 4:
Material: YIr2Ru
Method: DFT, PBE
State: relaxed

abc: 4.6199 4.6199 4.6199
angles: 60.00 60.00 60.00
With the nearest neighbours (Å) after each atom.
Fractional coordinates of all 4 atoms:
Y 0.0000 0.0000 0.0000  8 Ir 2.83
Ir 0.2500 0.2500 0.2500  4 Ru 2.83, 4 Y 2.83
Ir 0.7500 0.7500 0.7500  4 Ru 2.83, 4 Y 2.83
Ru 0.5000 0.5000 0.5000  8 Ir 2.83

Calculated values
The crystal system is cubic. The value obtained for the total energy is -8.26 eV per atom.

Entry 5:
Material: Y4IrRu
Method: DFT, PBE
State: relaxed

abc: 7.8962 7.8962 6.3399
angles: 108.92 108.92 110.59
With the nearest neighbours (Å) after each atom.
Fractional coordinates of all 12 atoms:
Y 0.0464 0.6922 0.9019  2 Ru 2.93-2.98, 2 Ir 2.93-3.04
Y 0.2418 0.3669 0.7342  2 Ru 2.83-2.91, 2 Ir 2.85-3.08
Y 0.3078 0.9536 0.5981  2 Ru 2.93-2.98, 2 Ir 2.93-3.04
Y 0.3669 0.2418 0.2342  2 Ru 2.83-2.91, 2 Ir 2.85-3.08
Y 0.6331 0.7582 0.7658  2 Ru 2.83-2.91, 2 Ir 2.85-3.08
Y 0.6922 0.0464 0.4019  2 Ru 2.93-2.98, 2 Ir 2.93-3.04
Y 0.7582 0.6331 0.2658  2 Ru 2.83-2.91, 2 Ir 2.85-3.08
Y 0.9536 0.3078 0.0981  2 Ru 2.93-2.98, 2 Ir 2.93-3.04
Ir 0.3648 0.6352 0.2500  8 Y 2.85-3.08
Ir 0.6352 0.3648 0.7500  8 Y 2.85-3.08
Ru 0.9999 0.0001 0.2500  8 Y 2.83-2.98
Ru 0.0001 0.9999 0.7500  8 Y 2.83-2.98

Calculated values
The crystal system is monoclinic. The value obtained for the total energy is -7.85 eV per atom.

Entry 6:
Material: Y6IrRu2
Method: DFT, PBE
State: relaxed

abc: 6.6187 7.3747 11.4628
angles: 90.00 123.45 90.00
With the nearest neighbours (Å) after each atom.
Fractional coordinates of all 18 atoms:
Y 0.0767 0.0443 0.2405  1 Ir 2.76, 2 Ru 2.77-2.78
Y 0.0767 0.4557 0.7405  1 Ir 2.76, 2 Ru 2.77-2.78
Y 0.2242 0.6702 0.0725  1 Ir 2.70, 1 Ru 2.97
Y 0.2242 0.8298 0.5725  1 Ir 2.70, 1 Ru 2.97
Y 0.3984 0.1715 0.0717  1 Ir 2.76, 2 Ru 2.82-3.08
Y 0.3984 0.3285 0.5717  1 Ir 2.76, 2 Ru 2.82-3.08
Y 0.6016 0.6715 0.4283  1 Ir 2.76, 2 Ru 2.82-3.08
Y 0.6016 0.8285 0.9283  1 Ir 2.76, 2 Ru 2.82-3.08
Y 0.7758 0.1702 0.4275  1 Ir 2.70, 1 Ru 2.97
Y 0.7758 0.3298 0.9275  1 Ir 2.70, 1 Ru 2.97
Y 0.9233 0.5443 0.2595  1 Ir 2.76, 2 Ru 2.77-2.78
Y 0.9233 0.9557 0.7595  1 Ir 2.76, 2 Ru 2.77-2.78
Ir 0.5000 0.0000 0.5000  6 Y 2.70-2.76
Ir 0.5000 0.5000 0.0000  6 Y 2.70-2.76
Ru 0.3103 0.1278 0.7759  6 Y 2.77-3.08
Ru 0.3103 0.3722 0.2759  6 Y 2.77-3.08
Ru 0.6897 0.6278 0.7241  6 Y 2.77-3.08
Ru 0.6897 0.8722 0.2241  6 Y 2.77-3.08

Calculated values
The crystal system is monoclinic. The value obtained for the total energy is -7.73 eV per atom.

Entry 7:
Material: Y2IrRu
Method: DFT, PBE
State: relaxed

abc: 6.1083 6.1083 6.1083
angles: 151.70 129.55 58.85
With the nearest neighbours (Å) after each atom.
Fractional coordinates of all 4 atoms:
Y 0.2498 0.2498 0.0000  1 Ir 2.66, 1 Ru 2.66
Y 0.7502 0.7502 0.0000  1 Ir 2.66, 1 Ru 2.66
Ir 0.0000 0.0000 0.0000  2 Y 2.66
Ru 0.5000 0.5000 0.0000  2 Y 2.66

Calculated values
The crystal system is orthorhombic. The value obtained for the total energy is -7.07 eV per atom.

Entry 8:
Material: YIrRu
Method: DFT, PBE
State: relaxed

abc: 5.0842 5.0842 4.9608
angles: 104.17 104.17 66.33
With the nearest neighbours (Å) after each atom.
Fractional coordinates of all 6 atoms:
Y 0.1338 0.1338 0.3702  2 Ir 2.71, 1 Y 2.93, 3 Ru 2.96-3.02
Y 0.8662 0.8662 0.6298  2 Ir 2.71, 1 Y 2.93, 3 Ru 2.96-3.02
Ir 0.0000 0.5000 0.0000  2 Ru 2.64, 2 Y 2.71, 2 Ir 2.78
Ir 0.5000 0.0000 0.0000  2 Ru 2.64, 2 Y 2.71, 2 Ir 2.78
Ru 0.4870 0.4870 0.7324  2 Ru 2.38-2.60, 2 Ir 2.64
Ru 0.5130 0.5130 0.2676  2 Ru 2.38-2.60, 2 Ir 2.64

Calculated values
The crystal system is monoclinic. The value obtained for the total energy is -8.37 eV per atom.

Entry 9:
Material: YIr2Ru
Method: DFT, PBE
State: relaxed

abc: 4.0673 4.0673 4.0358
angles: 90.00 90.00 90.00
With the nearest neighbours (Å) after each atom.
Fractional coordinates of all 4 atoms:
Y 0.0000 0.0000 0.0000  8 Ir 2.86, 4 Ru 2.88
Ir 0.0000 0.5000 0.5000  4 Ru 2.86, 4 Y 2.86, 4 Ir 2.88
Ir 0.5000 0.0000 0.5000  4 Ru 2.86, 4 Y 2.86, 4 Ir 2.88
Ru 0.5000 0.5000 0.0000  8 Ir 2.86, 4 Y 2.88

Calculated values
The crystal system is tetragonal. The value obtained for the total energy is -8.57 eV per atom.

Entry 10:
Material: YIrRu
Method: DFT, PBE
State: relaxed

abc: 4.4410 4.4410 4.4410
angles: 60.00 60.00 60.00
With the nearest neighbours (Å) after each atom.
Fractional coordinates of all 3 atoms:
Y 0.0000 0.0000 0.0000  4 Ru 2.72
Ir 0.5000 0.5000 0.5000  4 Ru 2.72
Ru 0.2500 0.2500 0.2500  4 Ir 2.72, 4 Y 2.72

Calculated values
The crystal system is cubic. The value obtained for the total energy is -8.04 eV per atom.

Entry 11:
Material: YZrIrRu
Method: DFT, PBE
State: relaxed

abc: 4.7420 4.7420 4.7420
angles: 60.00 60.00 60.00
With the nearest neighbours (Å) after each atom.
Fractional coordinates of all 4 atoms:
Y 0.0000 0.0000 0.0000  4 Ru 2.90, 4 Ir 2.90
Zr 0.5000 0.5000 0.5000  4 Ru 2.90, 4 Ir 2.90
Ir 0.7500 0.7500 0.7500  4 Zr 2.90, 4 Y 2.90
Ru 0.2500 0.2500 0.2500  4 Zr 2.90, 4 Y 2.90

Calculated values
The crystal system is cubic. The value obtained for the total energy is -8.93 eV per atom.

Entry 12:
Material: YZrIrRu
Method: DFT, PBE
State: relaxed

abc: 3.3735 3.3735 6.6754
angles: 90.00 90.00 90.00
With the nearest neighbours (Å) after each atom.
Fractional coordinates of all 4 atoms:
Y 0.0000 0.0000 0.0000  4 Ir 2.99, 4 Ru 2.99, 2 Zr 3.33-3.34
Zr 0.0000 0.0000 0.4993  4 Ru 2.84, 4 Ir 2.84
Ir 0.5000 0.5000 0.7306  4 Zr 2.84, 4 Y 2.99, 1 Ru 3.08
Ru 0.5000 0.5000 0.2697  4 Zr 2.84, 4 Y 2.99, 1 Ir 3.08

Calculated values
The crystal system is tetragonal. The value obtained for the total energy is -8.96 eV per atom.